No. 1
NaYAgSb2: optimized geometry, PBE.

Properties
Energy in eV per cell: -17.9

Unit cell a=5.4571 b=5.4571 c=5.4552 alpha=90.00 beta=90.00 gamma=90.00
Space group P4/mmm (No. 123)
Unique sites:
Na1 0.0000 0.0000 0.0000 x1
Y1 0.5000 0.5000 0.0000 x1
Ag1 0.5000 0.5000 0.5000 x1
Sb1 0.0000 0.5000 0.5000 x2



No. 2
NaYAgSb: optimized geometry, PBE.

Properties
Energy in eV per cell: -66.3

Unit cell a=7.3474 b=7.3474 c=7.3474 alpha=90.00 beta=90.00 gamma=90.00
Space group F-43m (No. 216)
Unique sites:
Na1 0.0000 0.0000 0.0000 x4
Y1 0.0000 0.0000 0.5000 x4
Ag1 0.2500 0.2500 0.2500 x4
Sb1 0.2500 0.2500 0.7500 x4